{"formula": "PrMgPt", "functional": "GGA-PBE", "state": "relaxed", "final_energy_ev_per_cell": -14.48, "magnetic_moment_mub_per_cell": 0.00, "spacegroup": "P3m1 (156)", "formation_energy_ev_per_fu": -2.07, "cell": [[3.984, 0.000, 0.000], [0.000, 4.564, 0.000], [0.000, -2.282, 3.952]], "species": ["Pr", "Mg", "Pt"], "frac_coords": [[0.667, 0.667, 0.333], [0.168, 0.333, 0.667], [0.166, 0.000, 0.000]]}